P.
Compound: Tl2AsCl
Source: Alexandria via LeMat-Bulk
Functional: GGA-PBE
Structure: relaxed

Cell lengths 6.1513, 6.1636, 6.0260 Å; angles 90.00, 90.00, 90.00 degrees
Fractional coordinates of all 8 atoms:
Tl1 0.0000 0.0000 0.0000
Tl2 0.0000 0.5000 0.5000
Tl3 0.5000 0.0000 0.5000
Tl4 0.5000 0.5000 0.0000
As1 0.0000 0.0000 0.5000
As2 0.5000 0.5000 0.5000
Cl1 0.0000 0.5000 0.0000
Cl2 0.5000 0.0000 0.0000

---

Q.
Compound: Tl2AsCl
Source: Alexandria via LeMat-Bulk
Functional: GGA-PBE
Structure: relaxed

Cell lengths 6.5757, 6.5757, 14.5161 Å; angles 90.00, 90.00, 90.00 degrees
Fractional coordinates of all 16 atoms:
Tl1 0.2249 0.2500 0.1250
Tl2 0.2500 0.7249 0.3750
Tl3 0.2500 0.7751 0.8750
Tl4 0.2751 0.2500 0.6250
Tl5 0.7249 0.7500 0.6250
Tl6 0.7500 0.2249 0.8750
Tl7 0.7500 0.2751 0.3750
Tl8 0.7751 0.7500 0.1250
As1 0.0000 0.0000 0.0000
As2 0.0000 0.5000 0.2500
As3 0.5000 0.0000 0.7500
As4 0.5000 0.5000 0.5000
Cl1 0.0000 0.0000 0.5000
Cl2 0.0000 0.5000 0.7500
Cl3 0.5000 0.0000 0.2500
Cl4 0.5000 0.5000 0.0000

---

Relative calculated energies, zero for the most stable structure, unit meV/atom: P 0; Q 177.